No. 1
10
Lattice="-0.5476 4.0542 0.1763 -1.1414 -0.3246 3.9192 9.8021 1.1956 2.9536" Properties=species:S:1:pos:R:3 comment="Tm2Ga4Cu3Pt, relaxed, DFT PBE" formation_enthalpy_0k_ev_per_atom=-0.53 vol_a3_per_atom=17.283 space_group="P-4m2, No. 115" pbc="T T T"
Ga -0.8445 1.8648 2.0477
Ga 2.9742 0.2701 3.0278
Ga 0.0000 0.0000 0.0000
Ga 5.9833 2.7903 1.9736
Tm 6.7926 0.7359 4.1783
Tm 2.1650 2.3246 0.8230
Cu 4.9010 0.5978 1.4768
Cu 8.2134 3.0624 2.6456
Cu 0.7441 -0.0019 2.3558
Pt 4.0565 2.4626 3.5245

No. 2
4
Lattice="-0.4204 1.7421 4.2442 -4.1772 0.9384 1.7015 -1.7410 -2.5883 3.3904" Properties=species:S:1:pos:R:3 comment="TmGaCuPt, relaxed, DFT PBE" formation_enthalpy_0k_ev_per_atom=-0.67 vol_a3_per_atom=17.286 space_group="F-43m, No. 216" pbc="T T T"
Pt -4.7540 0.0692 7.0021
Tm -3.1693 0.0461 4.6680
Cu -1.5847 0.0231 2.3340
Ga 0.0000 0.0000 0.0000

No. 3
10
Lattice="3.9794 0.0000 0.0000 0.0000 3.9794 0.0000 0.0000 0.0000 11.4844" Properties=species:S:1:pos:R:3 comment="Tm2Ga3CuPt4, relaxed, DFT PBE" formation_enthalpy_0k_ev_per_atom=-0.87 vol_a3_per_atom=18.186 space_group="P-4m2, No. 115" pbc="T T T"
Tm 1.9897 0.0000 3.0067
Tm 0.0000 1.9897 8.4777
Pt 1.9897 0.0000 7.4670
Pt 1.9897 1.9897 0.0000
Pt 0.0000 0.0000 0.0000
Pt 0.0000 1.9897 4.0174
Cu 1.9897 1.9897 5.7422
Ga 1.9897 0.0000 9.9331
Ga 0.0000 1.9897 1.5513
Ga 0.0000 0.0000 5.7422

No. 4
4
Lattice="4.6658 0.0000 0.0000 2.3329 4.0407 0.0000 2.3329 1.3469 3.8096" Properties=species:S:1:pos:R:3 comment="UGaCuPt, relaxed, DFT PBE" formation_enthalpy_0k_ev_per_atom=-0.29 vol_a3_per_atom=17.955 space_group="F-43m, No. 216" pbc="T T T"
U 0.0000 0.0000 0.0000
Cu 2.3329 1.3469 0.9524
Pt 6.9986 4.0407 2.8572
Ga 4.6658 2.6938 1.9048